RbBaCu2 | GGA-PBE | relaxed

D(E_F): 10.05 states/eV/cell
mass density: 4.48 g/cm3
space-group type: Fm-3m (225)
E above lowest polymorph: 0.00 eV per formula unit
energy of formation: 30 kJ per mole of atoms

abc: 8.0337 8.0337 8.0337
angles: 90.00 90.00 90.00
Closest atoms and distances in Å follow each position.
Fractional positions:
Rb: 0.0000 0.0000 0.0000  8 Cu 3.48
Rb: 0.0000 0.5000 0.5000  8 Cu 3.48
Rb: 0.5000 0.0000 0.5000  8 Cu 3.48
Rb: 0.5000 0.5000 0.0000  8 Cu 3.48
Ba: 0.0000 0.0000 0.5000  8 Cu 3.48
Ba: 0.0000 0.5000 0.0000  8 Cu 3.48
Ba: 0.5000 0.0000 0.0000  8 Cu 3.48
Ba: 0.5000 0.5000 0.5000  8 Cu 3.48
Cu: 0.2500 0.2500 0.2500  4 Ba 3.48, 4 Rb 3.48
Cu: 0.2500 0.2500 0.7500  4 Ba 3.48, 4 Rb 3.48
Cu: 0.2500 0.7500 0.2500  4 Ba 3.48, 4 Rb 3.48
Cu: 0.2500 0.7500 0.7500  4 Ba 3.48, 4 Rb 3.48
Cu: 0.7500 0.2500 0.2500  4 Ba 3.48, 4 Rb 3.48
Cu: 0.7500 0.2500 0.7500  4 Ba 3.48, 4 Rb 3.48
Cu: 0.7500 0.7500 0.2500  4 Ba 3.48, 4 Rb 3.48
Cu: 0.7500 0.7500 0.7500  4 Ba 3.48, 4 Rb 3.48



Na2Zn4Au5 | GGA-PBE | relaxed

D(E_F): 2.98 states/eV/cell
mass density: 10.34 g/cm3
space-group type: C2/m (12)
energy of formation: -21 kJ per mole of atoms

abc: 6.4246 6.4246 6.7252
angles: 106.84 106.84 52.15
Closest atoms and distances in Å follow each position.
Fractional positions:
Na: 0.0918 0.0918 0.2288  4 Zn 3.04-3.11, 6 Au 3.11-3.23, 1 Na 3.12
Na: 0.9082 0.9082 0.7712  4 Zn 3.04-3.11, 6 Au 3.11-3.23, 1 Na 3.12
Zn: 0.2724 0.2724 0.9821  5 Au 2.59-2.69, 3 Zn 2.65-2.89
Zn: 0.3243 0.3243 0.6257  1 Zn 2.65, 5 Au 2.65-2.82
Zn: 0.6757 0.6757 0.3743  1 Zn 2.65, 5 Au 2.65-2.82
Zn: 0.7276 0.7276 0.0179  5 Au 2.59-2.69, 3 Zn 2.65-2.89
Au: 0.1282 0.6293 0.3343  4 Zn 2.65-2.82, 3 Au 2.82-2.96
Au: 0.3707 0.8718 0.6657  4 Zn 2.65-2.82, 3 Au 2.82-2.96
Au: 0.5000 0.5000 0.0000  4 Zn 2.59-2.68
Au: 0.6293 0.1282 0.3343  4 Zn 2.65-2.82, 3 Au 2.82-2.96
Au: 0.8718 0.3707 0.6657  4 Zn 2.65-2.82, 3 Au 2.82-2.96



K2CuRu | GGA-PBE | relaxed

D(E_F): 6.69 states/eV/cell
mass density: 3.33 g/cm3
space-group type: Fm-3m (225)
E above lowest polymorph: 2.65 eV per formula unit
energy of formation: 131 kJ per mole of atoms

abc: 7.8548 7.8548 7.8548
angles: 90.00 90.00 90.00
Closest atoms and distances in Å follow each position.
Fractional positions:
K: 0.2500 0.2500 0.2500  4 Ru 3.40, 4 Cu 3.40
K: 0.2500 0.2500 0.7500  4 Ru 3.40, 4 Cu 3.40
K: 0.2500 0.7500 0.2500  4 Ru 3.40, 4 Cu 3.40
K: 0.2500 0.7500 0.7500  4 Ru 3.40, 4 Cu 3.40
K: 0.7500 0.2500 0.2500  4 Ru 3.40, 4 Cu 3.40
K: 0.7500 0.2500 0.7500  4 Ru 3.40, 4 Cu 3.40
K: 0.7500 0.7500 0.2500  4 Ru 3.40, 4 Cu 3.40
K: 0.7500 0.7500 0.7500  4 Cu 3.40, 4 Ru 3.40
Cu: 0.0000 0.0000 0.0000  8 K 3.40
Cu: 0.0000 0.5000 0.5000  8 K 3.40
Cu: 0.5000 0.0000 0.5000  8 K 3.40
Cu: 0.5000 0.5000 0.0000  8 K 3.40
Ru: 0.0000 0.0000 0.5000  8 K 3.40
Ru: 0.0000 0.5000 0.0000  8 K 3.40
Ru: 0.5000 0.0000 0.0000  8 K 3.40
Ru: 0.5000 0.5000 0.5000  8 K 3.40



Ag3AuCl2F6 | GGA-PBE | relaxed

D(E_F): 7.02 states/eV/cell
mass density: 5.59 g/cm3
space-group type: C2/m (12)
total DFT energy (no corrections): -36.992 eV/cell

abc: 7.2660 7.2660 4.8049
angles: 93.46 93.46 55.90
Closest atoms and distances in Å follow each position.
Fractional positions:
Ag: 0.0000 0.0000 0.0000  4 F 2.37, 2 Cl 2.53
Ag: 0.0000 0.5000 0.5000  2 Cl 2.51, 4 F 2.52-2.59
Ag: 0.5000 0.0000 0.5000  2 Cl 2.51, 4 F 2.52-2.59
Au: 0.5000 0.5000 0.5000  6 F 1.97-2.13
Cl: 0.1811 0.1811 0.8254  3 Ag 2.51-2.53
Cl: 0.8189 0.8189 0.1746  3 Ag 2.51-2.53
F: 0.1989 0.6687 0.7204  1 Au 2.13, 1 Ag 2.37
F: 0.3313 0.8011 0.2796  1 Au 2.13, 1 Ag 2.37
F: 0.3679 0.3679 0.2658  1 Au 1.97
F: 0.6321 0.6321 0.7342  1 Au 1.97
F: 0.6687 0.1989 0.7204  1 Au 2.13, 1 Ag 2.37
F: 0.8011 0.3313 0.2796  1 Au 2.13, 1 Ag 2.37



V2CoHIr | GGA-PBE | relaxed

D(E_F): 4.10 states/eV/cell
mass density: 10.92 g/cm3
space-group type: P4/mmm (123)
E above lowest polymorph: 0.55 eV per formula unit

abc: 3.7849 3.7849 3.7567
angles: 90.00 90.00 90.00
Closest atoms and distances in Å follow each position.
Fractional positions:
V: 0.0000 0.5000 0.0000  2 H 1.89
V: 0.5000 0.0000 0.0000  2 H 1.89
Co: 0.0000 0.0000 0.5000  8 V 2.67, 4 Ir 2.68
H: 0.5000 0.5000 0.0000  2 Ir 1.88, 4 V 1.89
Ir: 0.5000 0.5000 0.5000  2 H 1.88



YTa2Cu | GGA-PBE | relaxed

D(E_F): 7.91 states/eV/cell
mass density: 11.17 g/cm3
space-group type: Cmm2 (35)
E above lowest polymorph: 0.17 eV per formula unit
energy of formation: 22 kJ per mole of atoms

abc: 3.9407 4.4633 8.6953
angles: 90.00 90.00 90.00
Closest atoms and distances in Å follow each position.
Fractional positions:
Y: 0.0000 0.0000 0.0000  4 Cu 2.95-3.13, 4 Y 2.98, 2 Ta 3.22
Y: 0.5000 0.5000 0.0000  4 Cu 2.95-3.13, 4 Y 2.98, 2 Ta 3.22
Ta: 0.0000 0.0000 0.5407  4 Cu 2.67-2.87, 6 Ta 2.92-2.98
Ta: 0.0000 0.5000 0.2925  8 Ta 2.92-3.10, 2 Y 3.22
Ta: 0.5000 0.0000 0.2925  8 Ta 2.92-3.10, 2 Y 3.22
Ta: 0.5000 0.5000 0.5407  4 Cu 2.67-2.87, 6 Ta 2.92-2.98
Cu: 0.0000 0.5000 0.7481  4 Ta 2.67-2.87, 2 Y 2.95, 4 Cu 2.98
Cu: 0.5000 0.0000 0.7481  4 Ta 2.67-2.87, 2 Y 2.95, 4 Cu 2.98



Ti3CdN | GGA-PBE | relaxed

D(E_F): 5.07 states/eV/cell
mass density: 4.00 g/cm3
space-group type: P4mm (99)
total DFT energy (no corrections): -32.405 eV/cell

abc: 3.8643 3.8643 7.5158
angles: 90.00 90.00 90.00
Closest atoms and distances in Å follow each position.
Fractional positions:
Ti: 0.0000 0.0000 0.0000  4 Ti 2.84, 1 Cd 2.95
Ti: 0.0000 0.5000 0.7235  2 N 2.00
Ti: 0.5000 0.0000 0.7235  2 N 2.00
Cd: 0.0000 0.0000 0.3919  5 Ti 2.95-3.15
N: 0.5000 0.5000 0.6540  4 Ti 2.00



Ac2GdGa | GGA-PBE | relaxed

D(E_F): 5.12 states/eV/cell
mass density: 8.37 g/cm3
space-group type: P4/mmm (123)
E above lowest polymorph: 0.28 eV per formula unit
energy of formation: -10 kJ per mole of atoms

abc: 5.8114 5.8114 3.9988
angles: 90.00 90.00 90.00
Closest atoms and distances in Å follow each position.
Fractional positions:
Ac: 0.0000 0.5000 0.0000  4 Gd 3.53, 4 Ga 3.53
Ac: 0.5000 0.0000 0.0000  4 Gd 3.53, 4 Ga 3.53
Gd: 0.0000 0.0000 0.5000  8 Ac 3.53
Ga: 0.5000 0.5000 0.5000  8 Ac 3.53



CoSbTe2 | GGA-PBE | relaxed

D(E_F): 5.75 states/eV/cell
mass density: 7.45 g/cm3
space-group type: C2/m (12)
total DFT energy (no corrections): -34.768 eV/cell

abc: 6.2613 3.6314 8.6772
angles: 90.00 99.78 90.00
Closest atoms and distances in Å follow each position.
Fractional positions:
Co: 0.0000 0.0000 0.0000  6 Te 2.54
Co: 0.5000 0.5000 0.0000  6 Te 2.54
Sb: 0.0000 0.5000 0.5000  6 Te 3.34-3.63, 6 Sb 3.62-3.63
Sb: 0.5000 0.0000 0.5000  6 Te 3.34-3.63, 6 Sb 3.62-3.63
Te: 0.2044 0.5000 0.1682  3 Co 2.54
Te: 0.2956 0.0000 0.8318  3 Co 2.54
Te: 0.7044 0.0000 0.1682  3 Co 2.54
Te: 0.7956 0.5000 0.8318  3 Co 2.54



PmScBe17 | GGA-PBE | relaxed

D(E_F): 4.25 states/eV/cell
mass density: 2.99 g/cm3
space-group type: R3m (160)
energy of formation: -12 kJ per mole of atoms

abc: 5.7959 5.7959 5.7959
angles: 83.03 83.03 83.03
Closest atoms and distances in Å follow each position.
Fractional positions:
Pm: 0.0000 0.0000 0.0000  19 Be 2.76-2.97
Sc: 0.6771 0.6771 0.6771  19 Be 2.68-2.95
Be: 0.0581 0.3431 0.6199  6 Be 2.13-2.27
Be: 0.0581 0.6199 0.3431  6 Be 2.13-2.27
Be: 0.1856 0.6765 0.6765  7 Be 2.19-2.33
Be: 0.2471 0.2471 0.2471  7 Be 2.14-2.39
Be: 0.3424 0.3424 0.8391  10 Be 2.17-2.38
Be: 0.3424 0.8391 0.3424  10 Be 2.17-2.38
Be: 0.3431 0.0581 0.6199  6 Be 2.13-2.27
Be: 0.3431 0.6199 0.0581  6 Be 2.13-2.27
Be: 0.4380 0.4380 0.4380  7 Be 2.14-2.34
Be: 0.4979 0.9992 0.9992  9 Be 2.22-2.44
Be: 0.6199 0.0581 0.3431  6 Be 2.13-2.27
Be: 0.6199 0.3431 0.0581  6 Be 2.13-2.27
Be: 0.6765 0.1856 0.6765  7 Be 2.19-2.33
Be: 0.6765 0.6765 0.1856  7 Be 2.19-2.33
Be: 0.8391 0.3424 0.3424  10 Be 2.17-2.38
Be: 0.9992 0.4979 0.9992  9 Be 2.22-2.44
Be: 0.9992 0.9992 0.4979  9 Be 2.22-2.44



CsRbInHg | GGA-PBE | relaxed

D(E_F): 6.35 states/eV/cell
mass density: 4.07 g/cm3
space-group type: Cm (8)
E above lowest polymorph: 0.00 eV per formula unit
energy of formation: -13 kJ per mole of atoms

abc: 9.1162 5.2627 9.5677
angles: 90.00 108.36 90.00
Closest atoms and distances in Å follow each position.
Fractional positions:
Cs: 0.0000 0.0000 0.0000  3 Hg 3.97, 3 In 3.97
Cs: 0.5000 0.5000 0.0000  3 Hg 3.97, 3 In 3.97
Rb: 0.3219 0.5000 0.4646  3 In 3.81-3.82, 3 Hg 3.81-3.82
Rb: 0.8219 0.0000 0.4646  3 In 3.81-3.82, 3 Hg 3.81-3.82
In: 0.0729 0.5000 0.7188  3 Hg 3.04
In: 0.5729 0.0000 0.7188  3 Hg 3.04
Hg: 0.2398 0.0000 0.7188  3 In 3.04
Hg: 0.7398 0.5000 0.7188  3 In 3.04